## RbHf3Cd (meta-GGA SCAN)

Data for RbHf3Cd at its PBEsol-relaxed geometry.

## Properties
**DFT formation energy**: 146.21 kJ/mol of atoms

abc: 5.3205 5.3205 5.3205
angles: 90.00 90.00 90.00
Space group Pm-3m (No. 221)
One atom of each set of equivalent atoms:
Rb 0.0000 0.0000 0.0000 [1 per cell]
Hf 0.0000 0.5000 0.5000 [3 per cell]
Cd 0.5000 0.5000 0.5000 [1 per cell]

---

## ZrSc2Tc (meta-GGA SCAN)

Data for ZrSc2Tc at its PBEsol-relaxed geometry.

## Properties
**DFT formation energy**: -6.80 kJ/mol of atoms
**Offset from the most stable computed form**: 0.143 eV per atom

abc: 3.1322 4.3779 5.8558
angles: 90.00 103.74 90.00
Space group Pm (No. 6)
One atom of each set of equivalent atoms:
Zr 0.0000 0.0000 0.0000 [1 per cell]
Sc 0.3487 0.0000 0.5520 [1 per cell]
Sc 0.6740 0.5000 0.2760 [1 per cell]
Tc 0.1708 0.5000 0.7874 [1 per cell]

---

## CuIO4 (meta-GGA SCAN)

Data for CuIO4 at its PBEsol-relaxed geometry.

## Properties
**E_form (uncorrected)**: -446 meV per atom

abc: 9.0499 6.1082 5.9819
angles: 90.00 90.00 90.00
Space group Pnma (No. 62)
One atom of each set of equivalent atoms:
Cu 0.0000 0.0000 0.0000 [4 per cell]
I 0.2113 0.2500 0.4774 [4 per cell]
O 0.0492 0.7500 0.8478 [4 per cell]
O 0.0667 0.2500 0.6870 [4 per cell]
O 0.1888 0.5106 0.1142 [8 per cell]

---

## GaPbBr3 (meta-GGA SCAN)

Data for GaPbBr3 at its PBEsol-relaxed geometry.

## Properties
**E_form (uncorrected)**: -378 meV per atom

abc: 5.2289 5.2289 5.2289
angles: 90.00 90.00 90.00
Space group Pm-3m (No. 221)
One atom of each set of equivalent atoms:
Ga 0.0000 0.0000 0.0000 [1 per cell]
Pb 0.5000 0.5000 0.5000 [1 per cell]
Br 0.0000 0.0000 0.5000 [3 per cell]

---

## LaAs2CSe (meta-GGA SCAN)

Data for LaAs2CSe at its PBEsol-relaxed geometry.

## Properties
**Offset from the most stable computed form**: 0.000 eV per atom
**E_form (uncorrected)**: 149 meV per atom

abc: 4.5026 4.5026 4.5580
angles: 90.00 90.00 90.00
Space group P4/mmm (No. 123)
One atom of each set of equivalent atoms:
La 0.0000 0.0000 0.0000 [1 per cell]
As 0.0000 0.5000 0.5000 [2 per cell]
C 0.5000 0.5000 0.5000 [1 per cell]
Se 0.5000 0.5000 0.0000 [1 per cell]

---

## YCd2Pb (meta-GGA SCAN)

Data for YCd2Pb at its PBEsol-relaxed geometry.

## Properties
**DFT formation energy**: -44.91 kJ/mol of atoms

abc: 4.4526 4.4526 4.7787
angles: 90.00 90.00 90.00
Space group P4/mmm (No. 123)
One atom of each set of equivalent atoms:
Y 0.0000 0.0000 0.0000 [1 per cell]
Cd 0.0000 0.5000 0.5000 [2 per cell]
Pb 0.5000 0.5000 0.0000 [1 per cell]

---

## Mg2CoW (meta-GGA SCAN)

Data for Mg2CoW at its PBEsol-relaxed geometry.

## Properties
**DFT formation energy**: 59.97 kJ/mol of atoms
**Offset from the most stable computed form**: 0.309 eV per atom

abc: 3.6896 3.6896 8.8056
angles: 90.00 90.00 90.00
Space group I4/mmm (No. 139)
One atom of each set of equivalent atoms:
Mg 0.0000 0.5000 0.2500 [4 per cell]
Co 0.0000 0.0000 0.0000 [2 per cell]
W 0.0000 0.0000 0.5000 [2 per cell]

---

## MoOs2W (meta-GGA SCAN)

Data for MoOs2W at its PBEsol-relaxed geometry.

## Properties
**DFT formation energy**: 5.68 kJ/mol of atoms

abc: 2.7677 2.7677 7.7064
angles: 90.00 90.00 90.00
Space group P4/mmm (No. 123)
One atom of each set of equivalent atoms:
Mo 0.0000 0.0000 0.0000 [1 per cell]
Os 0.5000 0.5000 0.2492 [2 per cell]
W 0.0000 0.0000 0.5000 [1 per cell]

---

## YPHN2 (meta-GGA SCAN)

Data for YPHN2 at its PBEsol-relaxed geometry.

abc: 4.3409 4.3409 3.7452
angles: 90.00 90.00 90.00
Space group P4/mmm (No. 123)
One atom of each set of equivalent atoms:
Y 0.0000 0.0000 0.0000 [1 per cell]
P 0.5000 0.5000 0.5000 [1 per cell]
H 0.0000 0.0000 0.5000 [1 per cell]
N 0.0000 0.5000 0.0000 [2 per cell]

---

## AsSeF3 (meta-GGA SCAN)

Data for AsSeF3 at its PBEsol-relaxed geometry.

## Properties
**E_form (uncorrected)**: -289 meV per atom

abc: 4.3370 4.3370 4.3370
angles: 90.00 90.00 90.00
Space group Pm-3m (No. 221)
One atom of each set of equivalent atoms:
As 0.0000 0.0000 0.0000 [1 per cell]
Se 0.5000 0.5000 0.5000 [1 per cell]
F 0.0000 0.5000 0.5000 [3 per cell]

---

## Ba3Au (meta-GGA SCAN)

Data for Ba3Au at its PBEsol-relaxed geometry.

## Properties
**DFT formation energy**: -44.48 kJ/mol of atoms

abc: 8.4067 11.2828 7.4310
angles: 90.00 90.00 90.00
Space group Pnma (No. 62)
One atom of each set of equivalent atoms:
Ba 0.0403 0.2500 0.1516 [4 per cell]
Ba 0.1737 0.0701 0.6717 [8 per cell]
Au 0.1192 0.7500 0.4391 [4 per cell]

---

## Ca2CrWCl (meta-GGA SCAN)

Data for Ca2CrWCl at its PBEsol-relaxed geometry.

## Properties
**E_form (uncorrected)**: 568 meV per atom

abc: 5.8184 5.8184 4.3129
angles: 90.00 90.00 90.00
Space group P4/mmm (No. 123)
One atom of each set of equivalent atoms:
Ca 0.0000 0.5000 0.0000 [2 per cell]
Cr 0.0000 0.0000 0.5000 [1 per cell]
W 0.0000 0.0000 0.0000 [1 per cell]
Cl 0.5000 0.5000 0.5000 [1 per cell]

---

## HfCrFe2Te (meta-GGA SCAN)

Data for HfCrFe2Te at its PBEsol-relaxed geometry.

## Properties
**E_form (uncorrected)**: 1316 meV per atom

abc: 4.4997 4.4997 4.8770
angles: 90.00 90.00 90.00
Space group P4/mmm (No. 123)
One atom of each set of equivalent atoms:
Hf 0.0000 0.0000 0.0000 [1 per cell]
Cr 0.0000 0.0000 0.5000 [1 per cell]
Fe 0.0000 0.5000 0.0000 [2 per cell]
Te 0.5000 0.5000 0.5000 [1 per cell]

---

## Mg2NbHW (meta-GGA SCAN)

Data for Mg2NbHW at its PBEsol-relaxed geometry.

abc: 5.2974 5.2974 4.6538
angles: 90.00 90.00 90.00
Space group P4/mmm (No. 123)
One atom of each set of equivalent atoms:
Mg 0.0000 0.5000 0.0000 [2 per cell]
Nb 0.0000 0.0000 0.5000 [1 per cell]
H 0.5000 0.5000 0.5000 [1 per cell]
W 0.0000 0.0000 0.0000 [1 per cell]

---

## Ag2SO4 (meta-GGA SCAN)

Data for Ag2SO4 at its PBEsol-relaxed geometry.

## Properties
**E_form (uncorrected)**: -1042 meV per atom

abc: 5.4553 11.3089 12.2238
angles: 90.00 90.00 90.00
Space group Fddd (No. 70, origin choice 2)
One atom of each set of equivalent atoms:
Ag 0.1250 0.3280 0.1250 [16 per cell]
S 0.1250 0.1250 0.6250 [8 per cell]
O 0.0301 0.2974 0.9457 [32 per cell]

---

## ScAg5 (meta-GGA SCAN)

Data for ScAg5 at its PBEsol-relaxed geometry.

## Properties
**DFT formation energy**: -11.80 kJ/mol of atoms

abc: 3.4102 3.4102 8.9850
angles: 90.00 90.00 90.00
Space group P4/mmm (No. 123)
One atom of each set of equivalent atoms:
Sc 0.0000 0.0000 0.0000 [1 per cell]
Ag 0.0000 0.0000 0.3371 [2 per cell]
Ag 0.5000 0.5000 0.1738 [2 per cell]
Ag 0.5000 0.5000 0.5000 [1 per cell]

---

## Ca2FeAs (meta-GGA SCAN)

Data for Ca2FeAs at its PBEsol-relaxed geometry.

## Properties
**DFT formation energy**: -29.58 kJ/mol of atoms

abc: 3.5415 4.7075 10.4726
angles: 90.00 90.00 90.00
Space group Imm2 (No. 44)
One atom of each set of equivalent atoms:
Ca 0.0000 0.0000 0.0000 [2 per cell]
Ca 0.0000 0.5000 0.2093 [2 per cell]
Fe 0.0000 0.5000 0.7896 [2 per cell]
As 0.0000 0.0000 0.4360 [2 per cell]

---

## SrCdHg2 (meta-GGA SCAN)

Data for SrCdHg2 at its PBEsol-relaxed geometry.

## Properties
**DFT formation energy**: -36.39 kJ/mol of atoms

abc: 7.3470 7.3470 7.3470
angles: 90.00 90.00 90.00
Space group F-43m (No. 216)
One atom of each set of equivalent atoms:
Sr 0.0000 0.0000 0.0000 [4 per cell]
Cd 0.2500 0.2500 0.2500 [4 per cell]
Hg 0.0000 0.0000 0.5000 [4 per cell]
Hg 0.2500 0.2500 0.7500 [4 per cell]

---

## RbNa3Sn (meta-GGA SCAN)

Data for RbNa3Sn at its PBEsol-relaxed geometry.

## Properties
**DFT formation energy**: -11.79 kJ/mol of atoms

abc: 5.9951 5.9951 5.9951
angles: 90.00 90.00 90.00
Space group Pm-3m (No. 221)
One atom of each set of equivalent atoms:
Rb 0.0000 0.0000 0.0000 [1 per cell]
Na 0.0000 0.5000 0.5000 [3 per cell]
Sn 0.5000 0.5000 0.5000 [1 per cell]

---

## TiNbCr4 (meta-GGA SCAN)

Data for TiNbCr4 at its PBEsol-relaxed geometry.

## Properties
**DFT formation energy**: -6.93 kJ/mol of atoms

abc: 6.8193 6.8193 6.8193
angles: 90.00 90.00 90.00
Space group F-43m (No. 216)
One atom of each set of equivalent atoms:
Ti 0.0000 0.0000 0.0000 [4 per cell]
Nb 0.2500 0.2500 0.7500 [4 per cell]
Cr 0.1250 0.1250 0.3750 [16 per cell]

---

no.,energy (eV/atom)
1,-46.319
2,-23.629
3,-13.257
4,-30.480
5,-22.584
6,-41.579
7,-23.613
8,-62.024
9,-10.958
10,-10.467
11,-47.413
12,-22.507
13,-29.598
14,-21.601
15,-14.940
16,-28.634
17,-14.718
18,-47.632
19,-13.983
20,-20.521